PuAlInAg: relaxed, PBE.

a = 4.9714 Å, b = 4.9714 Å, c = 4.9714 Å
α = 60.00°, β = 60.00°, γ = 60.00°
Closest atoms and distances in Å follow each position.
Positions (direct):
In  0.2500  0.2500  0.2500  4 Ag 3.04, 4 Al 3.04
Pu  0.7500  0.7500  0.7500  4 Al 3.04, 4 Ag 3.04
Al  0.5000  0.5000  0.5000  4 In 3.04, 4 Pu 3.04
Ag  0.0000  0.0000  0.0000  4 Pu 3.04, 4 In 3.04

Properties
VASP energy = -5.994 eV/atom
N(E_F) = 10.70 states/eV per cell